EuBi2IO4: single point on PBEsol structure, SCAN.

Cell: 3.9298 3.9298 9.5353 Å, 90.00 90.00 90.00°
Last column: nearest neighbours and their distance in Å.
Space group P4/mmm (No. 123)
Inequivalent atoms, fractional coordinates:
Eu  0.0000  0.0000  0.0000 x1  8 O 2.42
Bi  0.5000  0.5000  0.2628 x2  4 O 2.24
I  0.0000  0.0000  0.5000 x1  8 Bi 3.58, 8 O 3.88, 4 I 3.93
O  0.0000  0.5000  0.1489 x4  2 Bi 2.24, 2 Eu 2.42

## Properties
Formation energy without anion corrections: -13.8 eV/f.u.
N(E_F): 1.1 states/eV per cell
Calculated density: 8.58 Mg/m³
Calculated total energy: -1.31538 Ha/atom
M_tot: 6.0 μB per formula unit


BiTeIrPd2: single point on PBEsol structure, SCAN.

Cell: 4.7466 4.7466 5.7389 Å, 90.00 90.00 90.00°
Last column: nearest neighbours and their distance in Å.
Space group P4/mmm (No. 123)
Inequivalent atoms, fractional coordinates:
Bi  0.0000  0.0000  0.0000 x1  2 Te 2.87
Te  0.0000  0.0000  0.5000 x1  4 Pd 2.37
Ir  0.5000  0.5000  0.0000 x1  4 Bi 3.36, 8 Pd 3.72
Pd  0.0000  0.5000  0.5000 x2  2 Te 2.37

## Properties
Formation energy without anion corrections: 6.4 eV/f.u.
N(E_F): 3.5 states/eV per cell
Calculated density: 9.52 Mg/m³
Calculated total energy: -1.80859 Ha/atom
M_tot: 1.4 μB per formula unit


Tb6MgGe2S14: single point on PBEsol structure, SCAN.

Cell: 9.8005 9.8005 5.6368 Å, 90.00 90.00 120.00°
Last column: nearest neighbours and their distance in Å.
Space group P3 (No. 143)
Inequivalent atoms, fractional coordinates:
Tb  0.0241  0.5596  0.0000 x3  7 S 2.72-2.92
Tb  0.3083  0.1058  0.5063 x3  7 S 2.74-2.94
Mg  0.6667  0.3333  0.2763 x1  6 S 2.56-2.57
Ge  0.0000  0.0000  0.9258 x1  4 S 2.17-2.23
Ge  0.3333  0.6667  0.4172 x1  4 S 2.18-2.23
S  0.0000  0.0000  0.3113 x1  1 Ge 2.17
S  0.0860  0.8495  0.7629 x3  1 Ge 2.23
S  0.1830  0.4297  0.2568 x3  1 Ge 2.23
S  0.3333  0.6667  0.8036 x1  1 Ge 2.18
S  0.4132  0.1755  0.0358 x3  1 Mg 2.56, 3 Tb 2.72-2.80
S  0.5065  0.4266  0.5199 x3  1 Mg 2.57, 3 Tb 2.74-2.85

## Properties
Formation energy without anion corrections: -41.4 eV/f.u.
N(E_F): 0.0 states/eV per cell
Calculated density: 5.57 Mg/m³
Calculated total energy: -0.79874 Ha/atom
M_tot: 0.0 μB per formula unit


TcBCl2: single point on PBEsol structure, SCAN.

Cell: 2.8905 2.8905 26.1098 Å, 90.00 90.00 120.00°
Last column: nearest neighbours and their distance in Å.
Space group R-3m (No. 166, hexagonal axes)
Inequivalent atoms, fractional coordinates:
Tc  0.0000  0.0000  0.0000 x3  6 Tc 2.89, 6 Cl 3.14
B  0.0000  0.0000  0.5000 x3  2 Cl 1.69
Cl  0.0000  0.0000  0.4352 x6  1 B 1.69

## Properties
Formation energy without anion corrections: 4.4 eV/f.u.
N(E_F): 7.7 states/eV per cell
Calculated density: 4.74 Mg/m³
Calculated total energy: -0.49698 Ha/atom
M_tot: 1.9 μB per formula unit